# PBE-GGA AlCd2Ni, optimized geometry
# - Size of the total moment: 0.00 μB per formula unit
# - Formation energy: 0.03 eV per atom
# - N(E_F): 1.68 states/eV/cell
# - Raw total energy: -2.81 eV per atom
data_AlCd2Ni
_cell_length_a 3.0631
_cell_length_b 4.2383
_cell_length_c 5.5600
_cell_angle_alpha 90.00
_cell_angle_beta 105.79
_cell_angle_gamma 90.00
_space_group_name_H-M_alt 'P 1 m 1'
_space_group_IT_number 6
loop_
_space_group_symop_operation_xyz
'x,y,z'
'x,-y,z'
loop_
_atom_site_label
_atom_site_type_symbol
_atom_site_fract_x
_atom_site_fract_y
_atom_site_fract_z
Al1 Al 0.0000 0.0000 0.0000
Cd1 Cd 0.2785 0.0000 0.5549
Cd2 Cd 0.6179 0.5000 0.2384
Ni1 Ni 0.8897 0.5000 0.7815

# PBE-GGA Al2CdNi, optimized geometry
# - Size of the total moment: 0.00 μB per formula unit
# - Formation energy: -0.10 eV per atom
# - N(E_F): 7.99 states/eV/cell
# - Raw total energy: -3.65 eV per atom
data_Al2CdNi
_cell_length_a 2.9795
_cell_length_b 2.9795
_cell_length_c 25.3590
_cell_angle_alpha 90.00
_cell_angle_beta 90.00
_cell_angle_gamma 120.00
_space_group_name_H-M_alt 'R -3 m'
_space_group_IT_number 166
_space_group_name_Hall '-R 3 2"'
loop_
_atom_site_label
_atom_site_type_symbol
_atom_site_fract_x
_atom_site_fract_y
_atom_site_fract_z
Al1 Al 0.0000 0.0000 0.2367
Cd1 Cd 0.0000 0.0000 0.0000
Ni1 Ni 0.0000 0.0000 0.5000

# PBE-GGA Al2CdNi, optimized geometry
# - Size of the total moment: 0.00 μB per formula unit
# - Formation energy: -0.10 eV per atom
# - N(E_F): 2.86 states/eV/cell
# - Raw total energy: -3.65 eV per atom
data_Al2CdNi
_cell_length_a 2.7635
_cell_length_b 4.6049
_cell_length_c 10.5311
_cell_angle_alpha 90.00
_cell_angle_beta 90.00
_cell_angle_gamma 90.00
_space_group_name_H-M_alt 'I m m m'
_space_group_IT_number 71
_space_group_name_Hall '-I 2 2'
loop_
_atom_site_label
_atom_site_type_symbol
_atom_site_fract_x
_atom_site_fract_y
_atom_site_fract_z
Al1 Al 0.0000 0.0000 0.1957
Cd1 Cd 0.0000 0.5000 0.0000
Ni1 Ni 0.0000 0.5000 0.5000

Question: Which value of formation energy does entry 3 give?
Answer: -0.10 eV per atom